Density functional theory data (GGA-PBE) for a geometry-optimized DyY3Bi3 structure.

Cell and atoms, written as POSCAR:
```
DyY3Bi3
1.0
9.4036 0.0000 0.0000
0.0000 9.4036 0.0000
0.0000 0.0000 9.4036
Y Dy Bi
12 4 12
Direct
0.6769 0.6769 0.6769
0.1769 0.8231 0.3231
0.9270 0.9270 0.9270
0.0730 0.4270 0.5730
0.1769 0.1769 0.1769
0.8231 0.3231 0.1769
0.3231 0.1769 0.8231
0.6769 0.3231 0.8231
0.3231 0.8231 0.6769
0.4270 0.5730 0.0730
0.5730 0.0730 0.4270
0.8231 0.6769 0.3231
0.0728 0.5728 0.9272
0.5728 0.9272 0.0728
0.4272 0.4272 0.4272
0.9272 0.0728 0.5728
0.0001 0.2502 0.8747
0.7498 0.3747 0.4999
0.6253 0.9999 0.7502
0.5001 0.2498 0.1253
0.2502 0.8747 0.0001
0.3747 0.4999 0.7498
0.8747 0.0001 0.2502
0.2498 0.1253 0.5001
0.4999 0.7498 0.3747
0.7502 0.6253 0.9999
0.1253 0.5001 0.2498
0.9999 0.7502 0.6253
```

Properties
size of the total moment: 0.00 μB/cell
E_form: -0.76 eV per atom


Density functional theory data (GGA-PBE) for a geometry-optimized DyY5Bi6 structure.

Cell and atoms, written as POSCAR:
```
DyY5Bi6
1.0
-0.9045 -3.1803 7.0220
4.0431 -6.6179 0.3854
7.3754 0.0918 2.4226
Y Bi Dy
5 6 1
Direct
0.5000 0.8333 0.3334
0.0000 0.3333 0.3335
0.5000 0.1667 0.6666
0.0000 0.6667 0.6665
0.5000 0.5000 0.0000
0.2498 0.9167 0.6671
0.2498 0.5838 0.3329
0.7504 0.7502 0.0000
0.7502 0.0833 0.3329
0.2496 0.2498 0.0000
0.7502 0.4162 0.6671
0.0000 0.0000 0.0000
```

Properties
size of the total moment: 0.00 μB/cell
E_form: -0.89 eV per atom


Density functional theory data (GGA-PBE) for a geometry-optimized Dy4Y3Bi4 structure.

Cell and atoms, written as POSCAR:
```
Dy4Y3Bi4
1.0
-1.6291 -1.3421 3.4989
-3.8787 -7.1351 -4.5427
10.0394 -0.6803 2.0273
Bi Y Dy
4 3 4
Direct
0.2627 0.7627 0.5253
0.7373 0.2373 0.4747
0.5000 0.2056 0.0000
0.5000 0.7944 0.0000
0.8982 0.8982 0.7964
0.1018 0.1018 0.2036
0.0000 0.5000 0.0000
0.3343 0.1501 0.6687
0.3343 0.5185 0.6687
0.6657 0.4815 0.3313
0.6657 0.8499 0.3313
```

Properties
size of the total moment: 2.97 μB/cell
E_form: -0.55 eV per atom


Density functional theory data (GGA-PBE) for a geometry-optimized Dy4ZnBi structure.

Cell and atoms, written as POSCAR:
```
Dy4ZnBi
1.0
6.1471 -0.5721 0.0000
-2.2949 8.4250 0.0000
-1.9261 -3.9265 6.7081
Dy Bi Zn
8 2 2
Direct
0.0750 0.2027 0.8194
0.2444 0.6167 0.8194
0.2273 0.2848 0.3638
0.9250 0.7973 0.1806
0.7727 0.7152 0.6362
0.7556 0.3833 0.1806
0.3635 0.9210 0.6362
0.6365 0.0790 0.3638
0.6352 0.3852 0.7703
0.3648 0.6148 0.2297
0.2504 0.0004 0.0007
0.7496 0.9996 0.9993
```

Properties
size of the total moment: 0.00 μB/cell
E_form: -0.33 eV per atom